Material: ZrRe2Sb
Method: DFT, GGA-PBE
State: relaxed

Output
Formation energy without anion corrections ... 329 meV per atom
Density of states at the Fermi level ... 4.701 states/eV per cell
Uncorrected energy ... -9.063 eV per atom

Lattice parameters (Å, degrees): 9.6320 9.6320 9.6320 17.95 17.95 17.95
Sites, in units of the cell vectors:
Re: 0.2555 0.2555 0.2555
Re: 0.9925 0.9925 0.9925
Sb: 0.5048 0.5048 0.5048
Zr: 0.7472 0.7472 0.7472